The following is a DFT calculation (PBE) of a relaxed structure of PrHoTlPt.

Output
electronic total energy = -20.27 eV/cell
formation energy from the elements = -0.625 eV/atom

a b c (Å): 5.248 5.248 5.248
angles (deg): 60.00 60.00 60.00
Fractional positions:
Tl  0.250  0.250  0.250
Pt  0.750  0.750  0.750
Pr  0.500  0.500  0.500
Ho  0.000  0.000  0.000

---

The following is a DFT calculation (PBE) of a relaxed structure of LaCePr2P4.

Output
electronic total energy = -54.29 eV/cell
formation energy from the elements = -1.529 eV/atom

a b c (Å): 4.192 7.264 7.257
angles (deg): 109.41 90.00 90.00
Site moments in Bohr magnetons follow the coordinates.
Fractional positions:
P  0.500  0.744  0.753  -0.01
La  0.000  0.000  0.000  0.00
P  0.000  0.742  0.244  -0.01
P  0.500  0.256  0.247  -0.01
Ce  0.500  0.500  0.000  0.45
P  0.000  0.258  0.756  -0.01
Pr  0.000  0.500  0.500  0.00
Pr  0.500  0.000  0.500  0.01

---

The following is a DFT calculation (PBE) of a relaxed structure of CrCo3.

Output
electronic total energy = -30.56 eV/cell
polymorph energy (0 for the lowest one) = 100 meV per atom
formation energy from the elements = 0.094 eV/atom

a b c (Å): 4.307 4.307 9.933
angles (deg): 150.02 150.02 33.49
Site moments in Bohr magnetons follow the coordinates.
Fractional positions:
Co  0.003  0.003  0.502  1.14
Co  0.997  0.997  0.998  1.14
Co  0.000  0.000  0.750  1.07
Cr  0.000  0.000  0.250  -0.40

---

The following is a DFT calculation (PBE) of a relaxed structure of AcHoTm.

Output
electronic total energy = -10.46 eV/cell
polymorph energy (0 for the lowest one) = 845 meV per atom
formation energy from the elements = 0.901 eV/atom

a b c (Å): 4.608 4.608 6.028
angles (deg): 90.00 90.00 90.00
Fractional positions:
Ho  0.500  0.500  0.500
Ac  0.000  0.000  0.000
Tm  0.500  0.500  0.000

---

The following is a DFT calculation (PBE) of a relaxed structure of Tm4Tl3S8.

Output
electronic total energy = -78.06 eV/cell
formation energy without anion corrections = -1.337 eV per atom

a b c (Å): 7.922 8.085 8.085
angles (deg): 89.79 118.78 118.78
Fractional positions:
Tl  0.500  0.000  0.500
S  0.000  0.760  0.240
Tm  0.000  0.500  0.000
S  0.500  0.765  0.235
S  0.028  0.773  0.773
Tm  0.500  0.000  0.000
S  0.000  0.240  0.760
Tm  0.000  0.000  0.500
Tl  0.500  0.500  0.000
Tm  0.000  0.000  0.000
S  0.461  0.213  0.213
Tl  0.500  0.500  0.500
S  0.500  0.235  0.765
S  0.972  0.227  0.227
S  0.539  0.787  0.787

---

The following is a DFT calculation (PBE) of a relaxed structure of V3Pd2Rh2.

Output
electronic total energy = -53.51 eV/cell
formation energy from the elements = -0.152 eV/atom

a b c (Å): 3.811 2.725 9.901
angles (deg): 90.00 78.90 90.00
Site moments in Bohr magnetons follow the coordinates.
Fractional positions:
V  0.150  0.000  0.700  0.03
Pd  0.569  0.500  0.862  0.00
Pd  0.431  0.500  0.138  0.00
Rh  0.295  0.500  0.410  0.00
V  0.000  0.000  0.000  0.06
Rh  0.705  0.500  0.590  0.00
V  0.850  0.000  0.300  0.03

---

The following is a DFT calculation (PBE) of a relaxed structure of Nd3AsS2.

Output
electronic total energy = -38.48 eV/cell
formation energy without anion corrections = -1.879 eV per atom

a b c (Å): 4.142 5.856 7.178
angles (deg): 114.07 106.77 90.00
Fractional positions:
As  0.500  0.500  0.500
S  0.166  0.166  0.832
Nd  0.500  0.000  0.500
S  0.834  0.834  0.168
Nd  0.832  0.332  0.164
Nd  0.168  0.668  0.836

---

The following is a DFT calculation (PBE) of a relaxed structure of LaCe2Th.

Output
electronic total energy = -24.02 eV/cell
polymorph energy (0 for the lowest one) = 0 meV per atom
formation energy from the elements = 0.049 eV/atom

a b c (Å): 3.496 3.496 9.966
angles (deg): 90.00 90.00 90.00
Fractional positions:
Th  0.500  0.500  0.500
La  0.500  0.500  0.000
Ce  0.000  0.000  0.739
Ce  0.000  0.000  0.261